Here is a geometry-optimized TmTlSiO4 structure from the Alexandria database. Energies are from PBE.

Values from the calculation:
For the energy relative to the elements, uncorrected, the calculation gives -2.64 eV/atom. Its crystal system is monoclinic.

a b c (Å): 5.632 5.666 7.787
angles (deg): 90.00 107.16 90.00
Space group P2_1/m (No. 11)
Inequivalent atoms, fractional coordinates:
Tm 0.211 0.250 0.049
Tl 0.322 0.250 0.601
Si 0.255 0.750 0.855
O 0.061 0.525 0.840
O 0.433 0.750 0.723
O 0.454 0.750 0.060